<a>
# LaTl2Ga GGA-PBE relaxed
data_LaTl2Ga
_symmetry_space_group_name_H-M 'R -3 m'
_symmetry_Int_Tables_number 166
_symmetry_space_group_name_Hall '-R 3 2"'
_cell_length_a 3.5038
_cell_length_b 3.5038
_cell_length_c 34.1607
_cell_angle_alpha 90.00
_cell_angle_beta 90.00
_cell_angle_gamma 120.00
loop_
_atom_site_label
_atom_site_type_symbol
_atom_site_fract_x
_atom_site_fract_y
_atom_site_fract_z
_atom_site_occupancy
La1 La 0.0000 0.0000 0.0000 1
Tl1 Tl 0.0000 0.0000 0.0961 1
Ga1 Ga 0.0000 0.0000 0.5000 1
# Magnetic moment in μB per formula unit: 0.0
# Volume in Å³ per cell: 363
# N(E_F) in states/eV/f.u.: 2.84

<b>
# LaTl2Ga GGA-PBE relaxed
data_LaTl2Ga
_symmetry_space_group_name_H-M 'I -4 2 d'
_symmetry_Int_Tables_number 122
_symmetry_space_group_name_Hall 'I -4 2bw'
_cell_length_a 4.684
_cell_length_b 4.684
_cell_length_c 23.160
_cell_angle_alpha 90.00
_cell_angle_beta 90.00
_cell_angle_gamma 90.00
loop_
_atom_site_label
_atom_site_type_symbol
_atom_site_fract_x
_atom_site_fract_y
_atom_site_fract_z
_atom_site_occupancy
La1 La 0.000 0.000 0.000 1
Tl1 Tl 0.229 0.250 0.625 1
Ga1 Ga 0.000 0.000 0.500 1
# Magnetic moment in μB per formula unit: 0.0
# Volume in Å³ per cell: 508
# N(E_F) in states/eV/f.u.: 2.85

Which structure is most stable, and how do the rest compare? From most to least stable: <b>, <a>.